# 1
MnTl2W2 at its PBEsol-relaxed geometry. Source: the Alexandria database, functional SCAN.

Computed properties:
Calculated density   13.9 g/cm3
ΔE_f   0.92 eV per atom
Fermi-level density of states   2.09 states/eV per cell
V   19.91 A^3/atom

Unit cell a=3.673 b=3.673 c=7.823 alpha=103.58 beta=103.58 gamma=90.00
Each line ends with the local moment (μB).
Fractional coordinates of all 5 atoms:
1 Tl 0.402 0.402 0.805  -0.04
2 Tl 0.598 0.598 0.195  -0.04
3 W 0.250 0.750 0.500  0.11
4 W 0.750 0.250 0.500  0.11
5 Mn 0.000 0.000 0.000  4.23



# 2
Y3Ag at its PBEsol-relaxed geometry. Source: the Alexandria database, functional SCAN.

Computed properties:
Calculated density   5.8 g/cm3
ΔE_f   -0.16 eV per atom
Fermi-level density of states   4.82 states/eV per cell
ΔE to the lowest computed polymorph   41.2 meV per atom
V   26.86 A^3/atom

Unit cell a=3.682 b=5.275 c=6.400 alpha=114.34 beta=106.72 gamma=90.00
Fractional coordinates of all 4 atoms:
1 Y 0.715 0.715 0.431
2 Y 0.500 0.000 0.000
3 Y 0.285 0.285 0.569
4 Ag 0.000 0.500 0.000



# 3
BeAl2Se at its PBEsol-relaxed geometry. Source: the Alexandria database, functional SCAN.

Computed properties:
Calculated density   3.6 g/cm3
Formation energy (no corrections)   27 kJ/mol of formula units
Fermi-level density of states   1.11 states/eV per cell
ΔE to the lowest computed polymorph   0.0 meV per atom
V   16.35 A^3/atom

Unit cell a=3.371 b=3.371 c=6.925 alpha=75.91 beta=75.91 gamma=60.00
Fractional coordinates of all 4 atoms:
1 Se 0.000 0.000 0.000
2 Al 0.244 0.244 0.267
3 Al 0.756 0.756 0.733
4 Be 0.500 0.500 0.500



# 4
MgNiPt2 at its PBEsol-relaxed geometry. Source: the Alexandria database, functional SCAN.

Computed properties:
Calculated density   14.2 g/cm3
ΔE_f   -0.57 eV per atom
Fermi-level density of states   2.00 states/eV per cell
V   13.81 A^3/atom

Unit cell a=2.783 b=4.530 c=4.530 alpha=104.59 beta=90.00 gamma=90.00
Each line ends with the local moment (μB).
Fractional coordinates of all 4 atoms:
1 Mg 0.500 0.000 0.000  0.00
2 Pt 0.000 0.500 0.000  0.15
3 Pt 0.000 0.000 0.500  0.15
4 Ni 0.500 0.500 0.500  0.96



# 5
Zr2NiMo at its PBEsol-relaxed geometry. Source: the Alexandria database, functional SCAN.

Computed properties:
Calculated density   7.9 g/cm3
ΔE_f   0.34 eV per atom
Fermi-level density of states   3.94 states/eV per cell
V   17.62 A^3/atom

Unit cell a=3.041 b=3.041 c=8.974 alpha=80.25 beta=80.25 gamma=60.00
Fractional coordinates of all 4 atoms:
1 Ni 0.244 0.244 0.268
2 Zr 0.756 0.756 0.733
3 Zr 0.991 0.991 0.028
4 Mo 0.510 0.510 0.471



# 6
BeHg2Cl at its PBEsol-relaxed geometry. Source: the Alexandria database, functional SCAN.

Computed properties:
Calculated density   9.1 g/cm3
Formation energy (no corrections)   122 kJ/mol of formula units
Fermi-level density of states   1.14 states/eV per cell
ΔE to the lowest computed polymorph   0.0 meV per atom
V   20.34 A^3/atom

Unit cell a=3.576 b=5.016 c=5.016 alpha=115.32 beta=90.00 gamma=90.00
Fractional coordinates of all 4 atoms:
1 Hg 0.000 0.500 0.000
2 Hg 0.000 0.000 0.500
3 Be 0.500 0.000 0.000
4 Cl 0.500 0.500 0.500



# 7
Ba2LiLaCu at its PBEsol-relaxed geometry. Source: the Alexandria database, functional SCAN.

Computed properties:
Calculated density   3.7 g/cm3
ΔE_f   0.17 eV per atom
Fermi-level density of states   5.42 states/eV per cell
V   43.17 A^3/atom

Unit cell a=5.427 b=6.306 c=6.306 alpha=90.00 beta=90.00 gamma=90.00
Fractional coordinates of all 5 atoms:
1 La 0.500 0.000 0.000
2 Ba 0.000 0.000 0.500
3 Ba 0.000 0.500 0.000
4 Li 0.500 0.500 0.500
5 Cu 0.000 0.000 0.000



# 8
RbSiCl2 at its PBEsol-relaxed geometry. Source: the Alexandria database, functional SCAN.

Computed properties:
Calculated density   2.3 g/cm3
Formation energy (no corrections)   -145 kJ/mol of formula units
Fermi-level density of states   1.73 states/eV per cell
V   33.70 A^3/atom

Unit cell a=4.265 b=4.265 c=8.905 alpha=76.15 beta=76.15 gamma=60.00
Fractional coordinates of all 4 atoms:
1 Cl 0.880 0.880 0.361
2 Cl 0.120 0.120 0.639
3 Si 0.500 0.500 0.500
4 Rb 0.000 0.000 0.000